The following is a PBE-GGA calculation of LuMnTe2 after structural relaxation, from the Alexandria database.

Unit cell a=3.873 b=3.873 c=9.431 alpha=78.15 beta=78.15 gamma=60.00
Last column: magnetic moment on the atom in μB.
Positions (direct):
Te (0.891, 0.891, 0.326)  -0.05
Te (0.109, 0.109, 0.674)  -0.05
Mn (0.500, 0.500, 0.500)  3.68
Lu (0.000, 0.000, 0.000)  0.09

Results
* raw formation energy: -0.168 eV per atom

The following is a PBE-GGA calculation of Tm2Al5ZnFe2 after structural relaxation, from the Alexandria database.

Unit cell a=4.098 b=9.178 c=9.178 alpha=90.00 beta=90.00 gamma=90.00
Last column: magnetic moment on the atom in μB.
Positions (direct):
Al (0.500, 0.000, 0.500)  -0.02
Al (0.500, 0.500, 0.000)  -0.02
Al (0.500, 0.560, 0.714)  -0.02
Al (0.500, 0.714, 0.440)  -0.02
Al (0.500, 0.286, 0.560)  -0.02
Al (0.500, 0.440, 0.286)  -0.02
Al (0.500, 0.214, 0.060)  -0.02
Al (0.500, 0.940, 0.214)  -0.02
Al (0.500, 0.786, 0.940)  -0.02
Al (0.500, 0.060, 0.786)  -0.02
Fe (0.000, 0.900, 0.400)  1.39
Fe (0.000, 0.400, 0.100)  1.39
Fe (0.000, 0.600, 0.900)  1.39
Fe (0.000, 0.100, 0.600)  1.39
Tm (0.000, 0.813, 0.687)  -0.06
Tm (0.000, 0.313, 0.813)  -0.06
Tm (0.000, 0.687, 0.187)  -0.06
Tm (0.000, 0.187, 0.313)  -0.06
Zn (0.000, 0.500, 0.500)  0.01
Zn (0.000, 0.000, 0.000)  0.01

Results
* energy of formation: -0.280 eV/atom

The following is a PBE-GGA calculation of Ce2Al3HgAu4 after structural relaxation, from the Alexandria database.

Unit cell a=4.393 b=4.393 c=11.116 alpha=90.00 beta=90.00 gamma=90.00
Last column: magnetic moment on the atom in μB.
Positions (direct):
Hg (0.500, 0.500, 0.500)  0.00
Au (0.000, 0.000, 0.000)  0.01
Au (0.500, 0.000, 0.655)  0.00
Au (0.500, 0.500, 0.000)  0.01
Au (0.000, 0.500, 0.345)  0.00
Al (0.000, 0.000, 0.500)  0.00
Al (0.500, 0.000, 0.877)  0.00
Al (0.000, 0.500, 0.123)  0.00
Ce (0.000, 0.500, 0.756)  0.81
Ce (0.500, 0.000, 0.244)  0.81

Results
* energy of formation: -0.556 eV/atom

The following is a PBE-GGA calculation of Cs4Pm3AlS8 after structural relaxation, from the Alexandria database.

Unit cell a=8.216 b=9.359 c=8.219 alpha=116.06 beta=119.99 gamma=90.00
Positions (direct):
Pm (0.500, 0.500, 0.000)
Pm (0.500, 0.500, 0.500)
Pm (0.000, 0.500, 0.500)
S (0.730, 0.689, 0.459)
S (0.211, 0.676, 0.965)
S (0.788, 0.324, 0.577)
S (0.270, 0.311, 0.541)
S (0.754, 0.676, 0.965)
S (0.246, 0.324, 0.035)
S (0.212, 0.676, 0.423)
S (0.789, 0.324, 0.035)
Al (0.000, 0.500, 0.000)
Cs (0.500, 0.000, 0.500)
Cs (0.500, 0.000, 0.000)
Cs (0.000, 0.000, 0.500)
Cs (0.000, 0.000, 0.000)

Results
* raw formation energy: -1.569 eV per atom

The following is a PBE-GGA calculation of BePtSeBr2 after structural relaxation, from the Alexandria database.

Unit cell a=5.156 b=5.156 c=4.940 alpha=90.00 beta=90.00 gamma=90.00
Positions (direct):
Be (0.500, 0.500, 0.500)
Se (0.000, 0.000, 0.500)
Pt (0.000, 0.000, 0.000)
Br (0.000, 0.500, 0.000)
Br (0.500, 0.000, 0.000)

Results
* raw formation energy: 0.663 eV per atom
* relative energy among the computed polymorphs: 140 meV/atom

The following is a PBE-GGA calculation of Ho4ScAg5 after structural relaxation, from the Alexandria database.

Unit cell a=3.554 b=3.554 c=18.202 alpha=90.00 beta=90.00 gamma=90.00
Positions (direct):
Ho (0.000, 0.000, 0.602)
Ho (0.000, 0.000, 0.806)
Ho (0.000, 0.000, 0.194)
Ho (0.000, 0.000, 0.398)
Ag (0.500, 0.500, 0.911)
Ag (0.500, 0.500, 0.500)
Ag (0.500, 0.500, 0.704)
Ag (0.500, 0.500, 0.089)
Ag (0.500, 0.500, 0.296)
Sc (0.000, 0.000, 0.000)

Results
* energy of formation: -0.314 eV/atom

The following is a PBE-GGA calculation of TiOs after structural relaxation, from the Alexandria database.

Unit cell a=5.098 b=5.098 c=5.109 alpha=90.00 beta=90.00 gamma=90.00
Positions (direct):
Ti (0.295, 0.295, 0.500)
Ti (0.205, 0.795, 0.000)
Ti (0.795, 0.205, 0.000)
Ti (0.705, 0.705, 0.500)
Os (0.299, 0.299, 0.000)
Os (0.799, 0.201, 0.500)
Os (0.701, 0.701, 0.000)
Os (0.201, 0.799, 0.500)

Results
* energy of formation: 0.339 eV/atom

The following is a PBE-GGA calculation of V4CoC after structural relaxation, from the Alexandria database.

Unit cell a=5.894 b=4.955 c=5.166 alpha=90.00 beta=103.08 gamma=90.00
Positions (direct):
V (0.204, 0.841, 0.600)
V (0.704, 0.659, 0.600)
V (0.296, 0.341, 0.400)
V (0.621, 0.113, 0.862)
V (0.879, 0.613, 0.138)
V (0.379, 0.887, 0.138)
V (0.121, 0.387, 0.862)
V (0.796, 0.159, 0.400)
Co (0.000, 0.000, 0.000)
Co (0.500, 0.500, 0.000)
C (0.500, 0.000, 0.500)
C (0.000, 0.500, 0.500)

Results
* energy of formation: -0.028 eV/atom

The following is a PBE-GGA calculation of KSrIn2Rh after structural relaxation, from the Alexandria database.

Unit cell a=6.026 b=6.353 c=6.026 alpha=90.00 beta=90.00 gamma=90.00
Last column: magnetic moment on the atom in μB.
Positions (direct):
Sr (0.000, 0.000, 0.000)  0.05
Rh (0.500, 0.500, 0.500)  -1.18
In (0.500, 0.000, 0.000)  0.05
In (0.000, 0.000, 0.500)  0.05
K (0.000, 0.500, 0.000)  0.01

Results
* relative energy among the computed polymorphs: 1587 meV/atom
* energy of formation: 1.331 eV/atom

The following is a PBE-GGA calculation of La6Pm2YSc after structural relaxation, from the Alexandria database.

Unit cell a=9.251 b=6.913 c=6.711 alpha=121.00 beta=105.67 gamma=90.00
Positions (direct):
Pm (0.170, 0.071, 0.142)
Pm (0.830, 0.929, 0.858)
Sc (0.000, 0.500, 0.000)
La (0.190, 0.566, 0.599)
La (0.417, 0.628, 0.256)
La (0.810, 0.968, 0.401)
La (0.190, 0.032, 0.599)
La (0.583, 0.372, 0.744)
La (0.810, 0.434, 0.401)
Y (0.500, 0.000, 0.000)

Results
* energy of formation: 0.203 eV/atom

The following is a PBE-GGA calculation of Be4PtSe after structural relaxation, from the Alexandria database.

Unit cell a=4.576 b=4.576 c=4.576 alpha=60.00 beta=60.00 gamma=60.00
Positions (direct):
Be (0.376, 0.376, 0.376)
Be (0.376, 0.872, 0.376)
Be (0.376, 0.376, 0.872)
Be (0.872, 0.376, 0.376)
Se (0.000, 0.000, 0.000)
Pt (0.750, 0.750, 0.750)

Results
* raw formation energy: 0.116 eV per atom

The following is a PBE-GGA calculation of V3AgH after structural relaxation, from the Alexandria database.

Unit cell a=4.989 b=4.989 c=4.989 alpha=90.00 beta=90.00 gamma=90.00
Last column: magnetic moment on the atom in μB.
Positions (direct):
V (0.000, 0.500, 0.000)  2.65
V (0.000, 0.000, 0.500)  2.65
V (0.500, 0.000, 0.000)  2.65
Ag (0.000, 0.000, 0.000)  0.14
H (0.500, 0.500, 0.500)  -0.13

Results
* relative energy among the computed polymorphs: 1996 meV/atom

Number 1: calculated density 6.77 Mg/m³. Number 2: calculated density 6.25 Mg/m³. Number 3: calculated density 10.45 Mg/m³. Number 4: calculated density 4.40 Mg/m³. Number 5: calculated density 5.60 Mg/m³. Number 6: calculated density 8.99 Mg/m³. Number 7: calculated density 11.91 Mg/m³. Number 8: calculated density 6.21 Mg/m³. Number 9: calculated density 3.31 Mg/m³. Number 10: calculated density 5.98 Mg/m³. Number 11: calculated density 7.60 Mg/m³. Number 12: calculated density 3.50 Mg/m³.